[1]
A relaxed CoRe3B crystal. Source: the Alexandria database, functional PBE.

Output
Relative energy among the computed polymorphs, meV/atom: 2058.7
Calculated density, g/cm3: 12.56
V, Å³ per cell: 83.1
Energy of formation, meV per atom: 2482

Lattice parameters (Å, degrees): 4.363 4.363 4.363 90.00 90.00 90.00
Sites, in units of the cell vectors:
Re1 0.000 0.000 0.500
Re2 0.000 0.500 0.000
Re3 0.500 0.000 0.000
Co1 0.000 0.000 0.000
B1 0.500 0.500 0.500

[2]
A relaxed CoReB crystal. Source: the Alexandria database, functional PBE.

Output
Relative energy among the computed polymorphs, meV/atom: 232.2
Calculated density, g/cm3: 13.45
V, Å³ per cell: 63.2
Energy of formation, meV per atom: -42

Lattice parameters (Å, degrees): 2.594 2.971 8.202 90.00 90.00 90.00
Sites, in units of the cell vectors:
Re1 0.000 0.000 0.640
Re2 0.000 0.500 0.140
B1 0.000 0.500 0.844
B2 0.000 0.000 0.344
Co1 0.500 0.000 0.923
Co2 0.500 0.500 0.423

[3]
A relaxed CoReB crystal. Source: the Alexandria database, functional PBE.

Output
Relative energy among the computed polymorphs, meV/atom: 0.0
Calculated density, g/cm3: 14.12
V, Å³ per cell: 120.4
Energy of formation, meV per atom: -275

Lattice parameters (Å, degrees): 3.303 5.614 6.494 90.00 90.00 90.00
Sites, in units of the cell vectors:
Re1 0.250 0.029 0.829
Re2 0.750 0.471 0.329
Re3 0.250 0.529 0.671
Re4 0.750 0.971 0.171
B1 0.250 0.268 0.124
B2 0.750 0.732 0.876
B3 0.250 0.768 0.376
B4 0.750 0.232 0.624
Co1 0.250 0.645 0.056
Co2 0.750 0.855 0.556
Co3 0.750 0.355 0.944
Co4 0.250 0.145 0.444

[4]
A relaxed CoRe2B crystal. Source: the Alexandria database, functional PBE.

Output
Calculated density, g/cm3: 15.66
V, Å³ per cell: 93.8
Energy of formation, meV per atom: 167

Lattice parameters (Å, degrees): 4.961 4.961 5.122 117.34 117.34 92.96
Sites, in units of the cell vectors:
B1 0.768 0.768 0.537
B2 0.232 0.232 0.463
Re1 0.321 0.321 0.000
Re2 0.250 0.750 0.500
Re3 0.750 0.250 0.500
Re4 0.679 0.679 0.000
Co1 0.174 0.826 0.000
Co2 0.826 0.174 0.000

[5]
A relaxed CoReB crystal. Source: the Alexandria database, functional PBE.

Output
Relative energy among the computed polymorphs, meV/atom: 268.2
Calculated density, g/cm3: 13.09
V, Å³ per cell: 97.4
Energy of formation, meV per atom: -6

Lattice parameters (Å, degrees): 2.805 2.805 14.299 90.00 90.00 120.00
Sites, in units of the cell vectors:
B1 0.667 0.333 0.876
B2 0.333 0.667 0.209
B3 0.000 0.000 0.543
Co1 0.667 0.333 0.292
Co2 0.000 0.000 0.959
Co3 0.333 0.667 0.626
Re1 0.000 0.000 0.769
Re2 0.667 0.333 0.103
Re3 0.333 0.667 0.436

[6]
A relaxed CoReB crystal. Source: the Alexandria database, functional PBE.

Output
Relative energy among the computed polymorphs, meV/atom: 264.7
Calculated density, g/cm3: 13.27
V, Å³ per cell: 128.1
Energy of formation, meV per atom: -10

Lattice parameters (Å, degrees): 4.223 6.722 5.154 90.00 118.86 90.00
Sites, in units of the cell vectors:
Co1 0.037 0.680 0.573
Co2 0.537 0.320 0.073
Co3 0.537 0.820 0.573
Co4 0.037 0.180 0.073
B1 0.086 0.905 0.217
B2 0.586 0.095 0.717
B3 0.586 0.595 0.217
B4 0.086 0.405 0.717
Re1 0.002 0.096 0.557
Re2 0.502 0.904 0.057
Re3 0.002 0.596 0.057
Re4 0.502 0.404 0.557

[7]
A relaxed Co3Re2B2 crystal. Source: the Alexandria database, functional PBE.

Output
Calculated density, g/cm3: 12.78
V, Å³ per cell: 74.2
Energy of formation, meV per atom: -18

Lattice parameters (Å, degrees): 3.145 2.970 8.077 100.60 90.00 90.00
Sites, in units of the cell vectors:
B1 0.500 0.716 0.433
B2 0.500 0.284 0.567
Co1 0.500 0.575 0.151
Co2 0.500 0.425 0.849
Co3 0.000 0.000 0.000
Re1 0.000 0.174 0.347
Re2 0.000 0.826 0.653

[8]
A relaxed CoReB crystal. Source: the Alexandria database, functional PBE.

Output
Relative energy among the computed polymorphs, meV/atom: 230.8
Calculated density, g/cm3: 13.16
V, Å³ per cell: 64.6
Energy of formation, meV per atom: -44

Lattice parameters (Å, degrees): 4.032 4.046 4.256 104.86 104.75 91.31
Sites, in units of the cell vectors:
Co1 0.355 0.303 0.004
Co2 0.851 0.698 0.970
Re1 0.238 0.641 0.570
Re2 0.738 0.096 0.554
B1 0.869 0.248 0.114
B2 0.197 0.069 0.342

[9]
A relaxed CoRe2B crystal. Source: the Alexandria database, functional PBE.

Output
Calculated density, g/cm3: 13.62
V, Å³ per cell: 107.8
Energy of formation, meV per atom: 874

Lattice parameters (Å, degrees): 3.666 3.666 8.434 77.45 77.45 90.00
Sites, in units of the cell vectors:
Re1 0.591 0.125 0.250
Re2 0.159 0.625 0.250
Re3 0.875 0.841 0.750
Re4 0.375 0.409 0.750
B1 0.250 0.750 0.500
B2 0.500 0.500 0.000
Co1 0.750 0.250 0.500
Co2 0.000 0.000 0.000

[10]
A relaxed CoRe2B2 crystal. Source: the Alexandria database, functional PBE.

Output
Relative energy among the computed polymorphs, meV/atom: 273.0
Calculated density, g/cm3: 14.09
V, Å³ per cell: 106.7
Energy of formation, meV per atom: 22

Lattice parameters (Å, degrees): 4.348 4.384 6.014 111.38 90.00 90.00
Sites, in units of the cell vectors:
Co1 0.500 0.000 0.000
Co2 0.000 0.000 0.000
B1 0.750 0.819 0.210
B2 0.250 0.181 0.790
B3 0.250 0.609 0.790
B4 0.750 0.391 0.210
Re1 0.750 0.778 0.556
Re2 0.250 0.586 0.172
Re3 0.250 0.222 0.444
Re4 0.750 0.414 0.828

[11]
A relaxed CoRe2B2 crystal. Source: the Alexandria database, functional PBE.

Output
Relative energy among the computed polymorphs, meV/atom: 0.0
Calculated density, g/cm3: 14.90
V, Å³ per cell: 101.0
Energy of formation, meV per atom: -251

Lattice parameters (Å, degrees): 5.434 5.434 3.420 90.00 90.00 90.00
Sites, in units of the cell vectors:
B1 0.619 0.119 0.000
B2 0.881 0.619 0.000
B3 0.381 0.881 0.000
B4 0.119 0.381 0.000
Co1 0.500 0.500 0.000
Co2 0.000 0.000 0.000
Re1 0.321 0.179 0.500
Re2 0.821 0.321 0.500
Re3 0.679 0.821 0.500
Re4 0.179 0.679 0.500

[12]
A relaxed CoRe2B crystal. Source: the Alexandria database, functional PBE.

Output
Calculated density, g/cm3: 15.07
V, Å³ per cell: 48.7
Energy of formation, meV per atom: 216

Lattice parameters (Å, degrees): 2.833 2.833 7.199 78.65 78.65 60.00
Sites, in units of the cell vectors:
Re1 0.234 0.234 0.297
Re2 0.766 0.766 0.703
Co1 0.000 0.000 0.000
B1 0.500 0.500 0.500

[13]
A relaxed CoReB crystal. Source: the Alexandria database, functional PBE.

Output
Relative energy among the computed polymorphs, meV/atom: 115.4
Calculated density, g/cm3: 13.60
V, Å³ per cell: 125.0
Energy of formation, meV per atom: -159

Lattice parameters (Å, degrees): 6.206 2.966 8.499 90.00 126.99 90.00
Sites, in units of the cell vectors:
Co1 0.570 0.500 0.974
Co2 0.815 0.500 0.371
Co3 0.815 0.000 0.871
Co4 0.570 0.000 0.474
B1 0.078 0.000 0.413
B2 0.773 0.500 0.665
B3 0.773 0.000 0.165
B4 0.078 0.500 0.913
Re1 0.095 0.500 0.212
Re2 0.364 0.000 0.116
Re3 0.364 0.500 0.616
Re4 0.095 0.000 0.712

[14]
A relaxed Sc2Co5ReB2 crystal. Source: the Alexandria database, functional PBE.

Output
Calculated density, g/cm3: 8.56
V, Å³ per cell: 229.8
Energy of formation, meV per atom: -396

Lattice parameters (Å, degrees): 2.917 8.876 8.876 90.00 90.00 90.00
Sites, in units of the cell vectors:
Co1 0.500 0.069 0.773
Co2 0.500 0.773 0.931
Co3 0.500 0.727 0.431
Co4 0.500 0.931 0.227
Co5 0.500 0.431 0.273
Co6 0.500 0.569 0.727
Co7 0.500 0.000 0.500
Co8 0.500 0.273 0.569
Co9 0.500 0.500 0.000
Co10 0.500 0.227 0.069
Sc1 0.000 0.323 0.823
Sc2 0.000 0.823 0.677
Sc3 0.000 0.177 0.323
Sc4 0.000 0.677 0.177
Re1 0.000 0.000 0.000
Re2 0.000 0.500 0.500
B1 0.000 0.883 0.383
B2 0.000 0.617 0.883
B3 0.000 0.117 0.617
B4 0.000 0.383 0.117

[15]
A relaxed Sc2CoReB crystal. Source: the Alexandria database, functional PBE.

Output
Calculated density, g/cm3: 5.62
V, Å³ per cell: 102.2
Energy of formation, meV per atom: 854

Lattice parameters (Å, degrees): 5.028 4.041 5.028 90.00 90.00 90.00
Sites, in units of the cell vectors:
B1 0.000 0.500 0.000
Co1 0.500 0.500 0.500
Re1 0.000 0.000 0.000
Sc1 0.000 0.000 0.500
Sc2 0.500 0.000 0.000

[16]
A relaxed SrCoRe2B crystal. Source: the Alexandria database, functional PBE.

Output
Calculated density, g/cm3: 10.29
V, Å³ per cell: 85.5
Energy of formation, meV per atom: 1405

Lattice parameters (Å, degrees): 4.667 3.924 4.667 90.00 90.00 90.00
Sites, in units of the cell vectors:
Co1 0.000 0.000 0.000
Sr1 0.500 0.500 0.500
B1 0.000 0.500 0.000
Re1 0.500 0.000 0.000
Re2 0.000 0.000 0.500

[17]
A relaxed Th2Co3ReB12 crystal. Source: the Alexandria database, functional PBE.

Output
Calculated density, g/cm3: 7.55
V, Å³ per cell: 210.4
Energy of formation, meV per atom: 50

Lattice parameters (Å, degrees): 7.922 7.922 7.922 43.10 43.10 43.10
Sites, in units of the cell vectors:
B1 0.918 0.918 0.370
B2 0.336 0.033 0.336
B3 0.370 0.918 0.918
B4 0.630 0.082 0.082
B5 0.082 0.630 0.082
B6 0.664 0.664 0.967
B7 0.336 0.336 0.033
B8 0.967 0.664 0.664
B9 0.033 0.336 0.336
B10 0.082 0.082 0.630
B11 0.664 0.967 0.664
B12 0.918 0.370 0.918
Th1 0.369 0.369 0.369
Th2 0.631 0.631 0.631
Co1 0.000 0.000 0.500
Co2 0.500 0.000 0.000
Co3 0.000 0.500 0.000
Re1 0.000 0.000 0.000

[18]
A relaxed CoRe2BW crystal. Source: the Alexandria database, functional PBE.

Output
Calculated density, g/cm3: 14.46
V, Å³ per cell: 71.9
Energy of formation, meV per atom: 1297

Lattice parameters (Å, degrees): 4.534 3.497 4.534 90.00 90.00 90.00
Sites, in units of the cell vectors:
W1 0.500 0.500 0.500
Re1 0.000 0.000 0.500
Re2 0.500 0.000 0.000
B1 0.000 0.500 0.000
Co1 0.000 0.000 0.000

[19]
A relaxed CoB2Rh crystal. Source: the Alexandria database, functional PBE.

Output
Relative energy among the computed polymorphs, meV/atom: 121.1
Calculated density, g/cm3: 8.57
V, Å³ per cell: 35.5
Energy of formation, meV per atom: 23

Lattice parameters (Å, degrees): 3.691 3.691 3.691 60.00 60.00 60.00
Sites, in units of the cell vectors:
B1 0.750 0.750 0.750
B2 0.250 0.250 0.250
Co1 0.000 0.000 0.000
Rh1 0.500 0.500 0.500

[20]
A relaxed CoBRh3 crystal. Source: the Alexandria database, functional PBE.

Output
Relative energy among the computed polymorphs, meV/atom: 240.7
Calculated density, g/cm3: 9.45
V, Å³ per cell: 66.5
Energy of formation, meV per atom: 116

Lattice parameters (Å, degrees): 4.052 4.052 4.052 90.00 90.00 90.00
Sites, in units of the cell vectors:
B1 0.000 0.000 0.000
Rh1 0.000 0.500 0.000
Rh2 0.000 0.000 0.500
Rh3 0.500 0.000 0.000
Co1 0.500 0.500 0.500

[21]
A relaxed Co3BRh crystal. Source: the Alexandria database, functional PBE.

Output
Relative energy among the computed polymorphs, meV/atom: 1998.1
Calculated density, g/cm3: 5.23
V, Å³ per cell: 92.3
Energy of formation, meV per atom: 2154

Lattice parameters (Å, degrees): 4.519 4.519 4.519 90.00 90.00 90.00
Sites, in units of the cell vectors:
Co1 0.500 0.000 0.000
Co2 0.000 0.500 0.000
Co3 0.000 0.000 0.500
Rh1 0.000 0.000 0.000
B1 0.500 0.500 0.500

[22]
A relaxed CoB2Rh crystal. Source: the Alexandria database, functional PBE.

Output
Relative energy among the computed polymorphs, meV/atom: 0.0
Calculated density, g/cm3: 8.42
V, Å³ per cell: 36.2
Energy of formation, meV per atom: -98

Lattice parameters (Å, degrees): 3.416 3.416 4.090 65.32 65.32 60.00
Sites, in units of the cell vectors:
Co1 0.500 0.500 0.500
B1 0.216 0.216 0.353
B2 0.784 0.784 0.647
Rh1 0.000 0.000 0.000

[23]
A relaxed CoBRh crystal. Source: the Alexandria database, functional PBE.

Output
Calculated density, g/cm3: 8.78
V, Å³ per cell: 32.6
Energy of formation, meV per atom: -115

Lattice parameters (Å, degrees): 3.587 3.587 3.587 60.00 60.00 60.00
Sites, in units of the cell vectors:
Rh1 0.000 0.000 0.000
Co1 0.500 0.500 0.500
B1 0.250 0.250 0.250

[24]
A relaxed CoBRh3 crystal. Source: the Alexandria database, functional PBE.

Output
Relative energy among the computed polymorphs, meV/atom: 0.0
Calculated density, g/cm3: 10.53
V, Å³ per cell: 119.4
Energy of formation, meV per atom: -125

Lattice parameters (Å, degrees): 2.770 4.730 10.115 71.37 90.02 72.99
Sites, in units of the cell vectors:
Co1 0.816 0.936 0.190
Co2 0.872 0.825 0.869
Rh1 0.179 0.212 0.336
Rh2 0.181 0.207 0.964
Rh3 0.507 0.554 0.095
Rh4 0.955 0.659 0.465
Rh5 0.509 0.548 0.723
Rh6 0.733 0.101 0.594
B1 0.205 0.159 0.748
B2 0.484 0.602 0.311

[25]
A relaxed CoBRh crystal. Source: the Alexandria database, functional PBE.

Output
Calculated density, g/cm3: 9.40
V, Å³ per cell: 61.0
Energy of formation, meV per atom: -134

Lattice parameters (Å, degrees): 3.399 4.010 4.664 106.49 89.99 90.00
Sites, in units of the cell vectors:
Co1 0.752 0.964 0.815
Co2 0.252 0.043 0.189
B1 0.252 0.868 0.547
B2 0.752 0.139 0.456
Rh1 0.752 0.563 0.253
Rh2 0.252 0.445 0.750